1.
This record from the Open Quantum Materials Database describes a geometry-optimized DyErCo2B2O2 structure. The functional is PBE+U.

Magnetization in Bohr magnetons per cell: 0.0
Total energy in eV per cell: -53.4

a b c (Å): 3.472 3.472 7.310
angles (deg): 90.00 90.00 90.00
Sites, in units of the cell vectors:
B (0.000, 0.000, 0.360)
B (0.500, 0.500, 0.635)
Co (0.500, 0.000, 0.499)
Co (0.000, 0.500, 0.499)
Dy (0.000, 0.000, 0.809)
Er (0.500, 0.500, 0.193)
O (0.000, 0.000, 0.136)
O (0.500, 0.500, 0.869)


2.
This record from the Open Quantum Materials Database describes a geometry-optimized Dy2ErCo2B2O3 structure. The functional is PBE+U.

Magnetization in Bohr magnetons per cell: 0.0
Total energy in eV per cell: -68.8

a b c (Å): 10.955 10.955 10.955
angles (deg): 162.18 162.18 25.31
Sites, in units of the cell vectors:
B (0.210, 0.210, 0.000)
B (0.790, 0.790, 0.000)
Co (0.750, 0.250, 0.500)
Co (0.250, 0.750, 0.500)
Dy (0.363, 0.363, 0.000)
Dy (0.637, 0.637, 0.000)
Er (0.000, 0.000, 0.000)
O (0.102, 0.102, 0.000)
O (0.500, 0.500, 0.000)
O (0.898, 0.898, 0.000)